# 1
# Zr2HgPb, optimized geometry, DFT PBE-GGA
data_Zr2HgPb
_symmetry_space_group_name_H-M 'P m m m'
_symmetry_Int_Tables_number 47
_cell_length_a 3.2443
_cell_length_b 4.3137
_cell_length_c 6.4792
_cell_angle_alpha 90.00
_cell_angle_beta 90.00
_cell_angle_gamma 90.00
loop_
_symmetry_equiv_pos_as_xyz
'x,y,z'
'-x,-y,-z'
'-x,-y,z'
'x,y,-z'
'x,-y,-z'
'-x,y,z'
'-x,y,-z'
'x,-y,z'
loop_
_atom_site_label
_atom_site_type_symbol
_atom_site_fract_x
_atom_site_fract_y
_atom_site_fract_z
_atom_site_occupancy
Zr1 Zr 0.0000 0.0000 0.2418 1
Hg1 Hg 0.5000 0.5000 0.0000 1
Pb1 Pb 0.5000 0.5000 0.5000 1
# - E_form (eV/atom) = -0.167
# - energy above the lowest structure with this stoichiometry (meV/atom) = 9

---

# 2
# CeSnP2, optimized geometry, DFT PBE-GGA
data_CeSnP2
_symmetry_space_group_name_H-M 'P 4/m m m'
_symmetry_Int_Tables_number 123
_symmetry_space_group_name_Hall '-P 4 2'
_cell_length_a 4.6678
_cell_length_b 4.6678
_cell_length_c 3.7197
_cell_angle_alpha 90.00
_cell_angle_beta 90.00
_cell_angle_gamma 90.00
loop_
_atom_site_label
_atom_site_type_symbol
_atom_site_fract_x
_atom_site_fract_y
_atom_site_fract_z
_atom_site_occupancy
Ce1 Ce 0.0000 0.0000 0.0000 1
Sn1 Sn 0.5000 0.5000 0.0000 1
P1 P 0.0000 0.5000 0.5000 1
# - E_form (eV/atom) = -0.666
# - energy above the lowest structure with this stoichiometry (meV/atom) = 0